No. 1
Pm2AlGe6Rh: optimized geometry, GGA-PBE.

```
20
Lattice="3.1682 1.8291 12.0905 -3.1682 1.8291 12.0905 0.0000 -3.6583 12.0905" Properties=species:S:1:pos:R:3 pbc="T T T"
Pm 0.0000 0.0000 4.4498
Pm 0.0000 0.0000 10.7492
Pm 0.0000 0.0000 25.5223
Pm 0.0000 0.0000 31.8217
Al 0.0000 0.0000 0.0000
Al 0.0000 0.0000 18.1358
Ge -1.9150 -1.1056 16.7718
Ge 0.0000 -1.5576 13.6302
Ge -1.3489 0.7788 13.6302
Ge 0.0000 -2.2112 19.4997
Ge -1.9150 1.1056 19.4997
Ge -1.3489 -0.7788 22.6413
Ge 1.3489 0.7788 13.6302
Ge 1.9150 -1.1056 16.7718
Ge 0.0000 2.2112 16.7718
Ge 1.3489 -0.7788 22.6413
Ge 0.0000 1.5576 22.6413
Ge 1.9150 1.1056 19.4997
Rh 0.0000 0.0000 15.6719
Rh 0.0000 0.0000 20.5996
```

The calculation puts the formation energy at -3.48 eV per formula unit.


No. 2
Ti3Ru: optimized geometry, GGA-PBE.

```
4
Lattice="3.0697 0.0000 0.0000 0.0000 3.0697 0.0000 0.0000 0.0000 6.7390" Properties=species:S:1:pos:R:3 pbc="T T T"
Ti 0.0000 0.0000 0.0000
Ti 1.5349 1.5349 1.8398
Ti 1.5349 1.5349 4.8992
Ru 0.0000 0.0000 3.3695
```

The calculation puts the formation energy at -1.44 eV per formula unit.


No. 3
Nb2Pd3Au3: optimized geometry, GGA-PBE.

```
8
Lattice="3.7224 2.1491 2.8500 -3.7224 2.1491 2.8500 0.0000 -4.2982 2.8500" Properties=species:S:1:pos:R:3 pbc="T T T"
Nb 0.0000 0.0000 2.0981
Nb 0.0000 0.0000 6.4518
Pd -0.9872 -2.5883 2.8500
Pd -1.7479 2.1491 2.8500
Pd 2.7352 0.4392 2.8500
Au -1.9474 0.0000 4.2750
Au 0.9737 -1.6865 4.2750
Au 0.9737 1.6865 4.2750
```

The calculation puts the formation energy at -1.29 eV per formula unit.


No. 4
Ac6NdTm2: optimized geometry, GGA-PBE.

```
18
Lattice="7.9917 -4.7266 0.0000 7.9917 4.7266 0.0000 -1.7486 0.0000 9.9524" Properties=species:S:1:pos:R:3 pbc="T T T"
Ac 4.9719 2.6450 4.7781
Ac 4.8630 2.8617 8.6814
Ac 8.4975 2.8617 6.2471
Ac 5.7688 0.6207 1.6621
Ac 10.1373 2.6450 0.1981
Ac 4.8945 -0.6207 6.6383
Ac 9.3403 0.6207 3.3141
Ac 4.0976 -2.6450 9.7542
Ac 8.4660 -0.6207 8.2903
Ac 5.7373 -2.8617 3.7053
Ac 9.3718 -2.8617 1.2709
Ac 9.2630 -2.6450 5.1743
Nd 7.5546 3.7727 2.4881
Nd 6.6803 -3.7727 7.4643
Tm 1.9949 0.7310 8.4899
Tm 2.8692 -0.7310 3.5138
Tm 11.3657 0.7310 6.4386
Tm 12.2400 -0.7310 1.4624
```

The calculation puts the formation energy at 1.49 eV per formula unit.


No. 5
Y2LuN: optimized geometry, GGA-PBE.

```
4
Lattice="3.1791 0.0000 0.0000 0.0000 3.1791 0.0000 0.0000 0.0000 8.6517" Properties=species:S:1:pos:R:3 pbc="T T T"
Y 0.0000 0.0000 1.4114
Y 0.0000 0.0000 7.2403
Lu 1.5896 1.5896 4.3258
N 1.5896 1.5896 0.0000
```

The calculation puts the raw formation energy at -0.21 eV/atom.


No. 6
TeP2S8: optimized geometry, GGA-PBE.

```
11
Lattice="4.8438 -6.3121 0.0000 4.8438 6.3121 0.0000 -1.9405 0.0000 5.7829" Properties=species:S:1:pos:R:3 pbc="T T T"
Te 0.0000 0.0000 0.0000
P 0.9311 0.0000 4.1058
P 6.8161 0.0000 1.6771
S -0.0937 1.6502 4.7227
S 1.6126 0.0000 2.1760
S -0.0937 -1.6502 4.7227
S 2.9563 0.0000 4.7202
S 4.7909 0.0000 1.0626
S 7.8408 1.6502 1.0602
S 6.1346 0.0000 3.6068
S 7.8408 -1.6502 1.0602
```

The calculation puts the raw formation energy at -0.05 eV/atom.


Results for E: -5.1778 -8.6008 -5.8552 -4.0967 -6.6569 -4.3176 (in eV/atom, following the order of the records).